Record 1
The following is a PBE-GGA calculation of an optimized crystal structure of CaEuHfGaO6, from Alexandria via LeMat-Bulk.

ρ (g cm⁻³): 6.98
Formation energy from raw total energies (eV/atom): -2.7056

a b c (Å): 7.9906 7.9906 7.9906
angles (deg): 90.00 90.00 90.00
Space group F-43m (No. 216)
Unique sites:
Ca 0.0000 0.0000 0.0000 [4 per cell]
Eu 0.0000 0.0000 0.5000 [4 per cell]
Hf 0.2500 0.2500 0.2500 [4 per cell]
Ga 0.2500 0.2500 0.7500 [4 per cell]
O 0.0053 0.2500 0.7500 [24 per cell]



Record 2
The following is a PBE-GGA calculation of an optimized crystal structure of CuSn4S8, from Alexandria via LeMat-Bulk.

ρ (g cm⁻³): 4.44
Formation energy from raw total energies (eV/atom): -0.3600

a b c (Å): 10.5952 10.5952 10.5952
angles (deg): 90.00 90.00 90.00
Space group F-43m (No. 216)
Unique sites:
Cu 0.0000 0.0000 0.0000 [4 per cell]
Sn 0.1217 0.1217 0.3783 [16 per cell]
S 0.1238 0.1238 0.6238 [16 per cell]
S 0.1269 0.1269 0.1269 [16 per cell]



Record 3
The following is a PBE-GGA calculation of an optimized crystal structure of Pm5Ho7, from Alexandria via LeMat-Bulk.

Energy above the most stable polymorph in this dataset (meV/atom): 0
ρ (g cm⁻³): 8.05
Energy of formation (eV/atom): 0.004

a b c (Å): 18.6253 3.5945 13.1454
angles (deg): 90.00 118.18 90.00
Space group C2/m (No. 12)
Unique sites:
Pm 0.0000 0.0000 0.0000 [2 per cell]
Pm 0.1655 0.0000 0.4982 [4 per cell]
Pm 0.1949 0.5000 0.7509 [4 per cell]
Ho 0.0000 0.5000 0.5000 [2 per cell]
Ho 0.0277 0.0000 0.7503 [4 per cell]
Ho 0.1376 0.5000 0.2485 [4 per cell]
Ho 0.1661 0.5000 0.9974 [4 per cell]



Record 4
The following is a PBE-GGA calculation of an optimized crystal structure of CeSm4Pu3Se8, from Alexandria via LeMat-Bulk.

ρ (g cm⁻³): 8.54
Formation energy from raw total energies (eV/atom): -1.7295

a b c (Å): 8.3067 8.3067 20.5549
angles (deg): 90.00 90.00 120.00
Space group R-3m (No. 166, hexagonal axes)
Unique sites:
Ce 0.0000 0.0000 0.0000 [3 per cell]
Sm 0.0000 0.0000 0.5000 [3 per cell]
Sm 0.0000 0.5000 0.5000 [9 per cell]
Pu 0.0000 0.5000 0.0000 [9 per cell]
Se 0.0000 0.0000 0.2511 [6 per cell]
Se 0.0024 0.5012 0.2503 [18 per cell]



Total magnetization? In order: 0.598, 0.000, 0.000, 1.146 μB per atom.